LiHg4Pd3 | PBE-GGA | optimized geometry

Lattice parameters (Å, degrees): 4.506 4.506 7.791 106.76 106.78 89.97
Element x y z (fractional)
1 Hg 0.376 0.377 0.753
2 Hg 0.624 0.623 0.247
3 Hg 0.124 0.124 0.247
4 Hg 0.876 0.876 0.753
5 Pd 0.000 0.500 0.000
6 Pd 0.751 0.251 0.504
7 Pd 0.249 0.749 0.496
8 Li 0.500 0.000 0.000

- Total moment: 0.00 μB/f.u.
- DFT formation energy: -0.2236 eV/atom
- Crystal system: tetragonal
- E above lowest polymorph: 0.000 eV/atom
- Fermi-level density of states: 2.89 states/eV/cell
- Symmetry: I4/mmm, No. 139